No. 1
The following is a DFT calculation (PBE-GGA) of SrSe2F after structural relaxation.

E_form (uncorrected): -1.0332 eV per atom
theoretical density: 4.42 g/cm3

Unit cell a=4.8248 b=4.8248 c=14.7810 alpha=90.00 beta=90.00 gamma=120.00
Space group R-3m (No. 166, hexagonal axes)
Asymmetric unit:
Sr 0.0000 0.0000 0.0000 (multiplicity 3)
Se 0.0000 0.0000 0.1953 (multiplicity 6)
F 0.0000 0.0000 0.5000 (multiplicity 3)

No. 2
The following is a DFT calculation (PBE-GGA) of Ho2Er3TmAs6 after structural relaxation.

theoretical density: 8.33 g/cm3
ΔE_f: -1.52 eV/atom

Unit cell a=17.801 b=4.085 c=8.168 alpha=90.00 beta=103.23 gamma=90.00
Space group C2/m (No. 12)
Asymmetric unit:
Ho 0.166 0.000 0.333 (multiplicity 4)
Er 0.000 0.500 0.500 (multiplicity 2)
Er 0.167 0.000 0.833 (multiplicity 4)
Tm 0.000 0.500 0.000 (multiplicity 2)
As 0.000 0.000 0.249 (multiplicity 4)
As 0.166 0.500 0.082 (multiplicity 4)
As 0.166 0.500 0.584 (multiplicity 4)

No. 3
The following is a DFT calculation (PBE-GGA) of K2SrScI after structural relaxation.

E_form (uncorrected): 0.3886 eV per atom
theoretical density: 1.78 g/cm3

Unit cell a=6.972 b=6.972 c=6.493 alpha=90.00 beta=90.00 gamma=90.00
Space group P4/mmm (No. 123)
Asymmetric unit:
K 0.000 0.500 0.000 (multiplicity 2)
Sr 0.000 0.000 0.500 (multiplicity 1)
Sc 0.000 0.000 0.000 (multiplicity 1)
I 0.500 0.500 0.500 (multiplicity 1)